PBE ScIrOs2, relaxed; excess energy over the best structure of this formula in the dataset = 39 meV per atom; calculated formation energy = -0.138 eV per atom
1.0
3.887 0.000 0.000
0.000 3.887 0.000
0.000 0.000 4.072
Sc Ir Os
1 1 2
Direct
0.000 0.000 0.000 Sc
0.500 0.500 0.000 Ir
0.000 0.500 0.500 Os
0.500 0.000 0.500 Os